A plane-wave DFT calculation with PBE-GGA was carried out for a relaxed Na2Pm3Pb6 crystal.

Computed properties:
Its total energy is -81.52 eV per cell. For the density, the calculation gives 8.524 Mg/m³. Its formation energy is -0.15 eV per atom.

Cell: 5.095 5.095 25.882 Å, 90.00 90.00 90.00°
Space group I4/mmm (No. 139)
Inequivalent atoms, fractional coordinates:
Na (0.000, 0.000, 0.048)
Pm (0.000, 0.000, 0.313)
Pm (0.000, 0.000, 0.500)
Pb (0.000, 0.000, 0.191)
Pb (0.000, 0.500, 0.104)